# 1
A plane-wave DFT calculation with PBE was carried out for a geometry-optimized AcClF4 structure.

Lattice parameters (Å, degrees): 4.9645 4.9645 4.9645 60.00 60.00 60.00
With the nearest neighbours (Å) after each atom.
Element x y z (fractional)
Ac (0.0000, 0.0000, 0.0000)  12 F 2.90, 4 Cl 3.04
Cl (0.2500, 0.2500, 0.2500)  12 F 2.92, 4 Ac 3.04
F (0.1147, 0.6284, 0.6284)  6 F 2.41-2.55
F (0.6284, 0.1147, 0.6284)  6 F 2.41-2.55
F (0.6284, 0.6284, 0.1147)  6 F 2.41-2.55
F (0.6284, 0.6284, 0.6284)  6 F 2.41-2.55

crystal system: cubic
uncorrected formation energy: -2.1406 eV/atom
E above lowest polymorph: 0.632 eV/atom
symmetry: F-43m (216)

---

# 2
A plane-wave DFT calculation with PBE was carried out for a geometry-optimized Zr3SbW structure.

Lattice parameters (Å, degrees): 5.0869 5.0869 5.0869 90.00 90.00 90.00
With the nearest neighbours (Å) after each atom.
Element x y z (fractional)
Zr (0.0000, 0.0000, 0.5000)  2 W 2.54
Zr (0.0000, 0.5000, 0.0000)  2 W 2.54
Zr (0.5000, 0.0000, 0.0000)  2 W 2.54
Sb (0.5000, 0.5000, 0.5000)  12 Zr 3.60
W (0.0000, 0.0000, 0.0000)  6 Zr 2.54

crystal system: cubic
uncorrected formation energy: 0.6231 eV/atom
symmetry: Pm-3m (221)

---

# 3
A plane-wave DFT calculation with PBE was carried out for a geometry-optimized AgRu3 structure.

Lattice parameters (Å, degrees): 2.7256 2.7256 8.0142 90.00 90.00 90.00
With the nearest neighbours (Å) after each atom.
Element x y z (fractional)
Ag (0.0000, 0.0000, 0.0000)  4 Ag 2.73, 8 Ru 2.90
Ru (0.0000, 0.0000, 0.5000)  12 Ru 2.67-2.73
Ru (0.5000, 0.5000, 0.2699)  8 Ru 2.67-2.73, 4 Ag 2.90
Ru (0.5000, 0.5000, 0.7301)  8 Ru 2.67-2.73, 4 Ag 2.90

crystal system: tetragonal
formation energy: 0.368 eV/atom
symmetry: P4/mmm (123)

---

# 4
A plane-wave DFT calculation with PBE was carried out for a geometry-optimized ScPa2Si3Pt4 structure.

Lattice parameters (Å, degrees): 4.1657 4.1657 10.5664 90.00 90.00 90.00
With the nearest neighbours (Å) after each atom.
Element x y z (fractional)
Sc (0.0000, 0.0000, 0.0000)  4 Pt 2.62
Pa (0.0000, 0.5000, 0.7369)  6 Si 3.17-3.47, 8 Pt 3.18-3.26, 2 Sc 3.47
Pa (0.5000, 0.0000, 0.2631)  6 Si 3.17-3.47, 8 Pt 3.18-3.26, 2 Sc 3.47
Si (0.0000, 0.5000, 0.3737)  5 Pt 2.36-2.47
Si (0.5000, 0.0000, 0.6263)  5 Pt 2.36-2.47
Si (0.5000, 0.5000, 0.0000)  4 Pt 2.62
Pt (0.0000, 0.0000, 0.5000)  4 Si 2.47
Pt (0.0000, 0.5000, 0.1507)  3 Si 2.36-2.62, 2 Sc 2.62
Pt (0.5000, 0.0000, 0.8493)  3 Si 2.36-2.62, 2 Sc 2.62
Pt (0.5000, 0.5000, 0.5000)  4 Si 2.47

crystal system: tetragonal
uncorrected formation energy: -0.9447 eV/atom
symmetry: P-4m2 (115)

---

# 5
A plane-wave DFT calculation with PBE was carried out for a geometry-optimized NdNiH structure.

Lattice parameters (Å, degrees): 4.0299 4.5876 5.2727 90.00 108.51 90.00
With the nearest neighbours (Å) after each atom.
Element x y z (fractional)
Nd (0.1492, 0.2500, 0.2864)  3 H 2.38-2.39
Nd (0.8508, 0.7500, 0.7136)  3 H 2.38-2.39
Ni (0.4916, 0.2500, 0.8822)  1 H 1.67
Ni (0.5084, 0.7500, 0.1178)  1 H 1.67
H (0.3115, 0.7500, 0.3521)  1 Ni 1.67
H (0.6885, 0.2500, 0.6479)  1 Ni 1.67

crystal system: monoclinic
E above lowest polymorph: 0.000 eV/atom
symmetry: P2_1/m (11)

---

# 6
A plane-wave DFT calculation with PBE was carried out for a geometry-optimized Mn2Cr4Tc3 structure.

Lattice parameters (Å, degrees): 4.8973 4.8973 6.4042 102.61 102.61 50.07
With the nearest neighbours (Å) after each atom.
Element x y z (fractional)
Mn (0.2326, 0.2326, 0.3383)  4 Cr 2.50-2.55, 4 Tc 2.55-2.61
Mn (0.7674, 0.7674, 0.6617)  4 Cr 2.50-2.55, 4 Tc 2.55-2.61
Cr (0.1102, 0.1102, 0.6597)  2 Cr 2.46-2.47, 3 Mn 2.50-2.55, 3 Tc 2.54-2.59
Cr (0.3216, 0.3216, 0.9879)  3 Cr 2.46, 4 Tc 2.50-2.60, 1 Mn 2.55
Cr (0.6784, 0.6784, 0.0121)  3 Cr 2.46, 4 Tc 2.50-2.60, 1 Mn 2.55
Cr (0.8898, 0.8898, 0.3403)  2 Cr 2.46-2.47, 3 Mn 2.50-2.55, 3 Tc 2.54-2.59
Tc (0.0000, 0.0000, 0.0000)  8 Cr 2.59-2.87, 2 Mn 2.61, 4 Tc 2.87
Tc (0.4498, 0.4498, 0.6809)  4 Cr 2.50-2.56, 3 Mn 2.55-2.61, 1 Tc 2.67
Tc (0.5502, 0.5502, 0.3191)  4 Cr 2.50-2.56, 3 Mn 2.55-2.61, 1 Tc 2.67

crystal system: monoclinic
formation energy: 0.077 eV/atom
symmetry: C2/m (12)

---

# 7
A plane-wave DFT calculation with PBE was carried out for a geometry-optimized PmHoSe2 structure.

Lattice parameters (Å, degrees): 4.3132 9.3231 6.4802 90.00 90.00 90.00
With the nearest neighbours (Å) after each atom.
Element x y z (fractional)
Pm (0.0000, 0.1626, 0.0000)  4 Se 2.82-2.92
Pm (0.5000, 0.8374, 0.5000)  4 Se 2.82-2.92
Ho (0.0000, 0.5844, 0.1271)  4 Se 2.76-2.96
Ho (0.5000, 0.4156, 0.6271)  4 Se 2.76-2.96
Se (0.0000, 0.3380, 0.3618)  3 Ho 2.76-2.85, 1 Pm 2.86
Se (0.0000, 0.8931, 0.2307)  3 Pm 2.82-2.92, 1 Ho 2.96
Se (0.5000, 0.1069, 0.7307)  3 Pm 2.82-2.92, 1 Ho 2.96
Se (0.5000, 0.6620, 0.8618)  3 Ho 2.76-2.85, 1 Pm 2.86

crystal system: orthorhombic
uncorrected formation energy: -1.3697 eV/atom
E above lowest polymorph: 0.417 eV/atom
symmetry: Pmn2_1 (31)

---

# 8
A plane-wave DFT calculation with PBE was carried out for a geometry-optimized BeRuSe structure.

Lattice parameters (Å, degrees): 5.6901 5.6901 5.6901 90.00 90.00 90.00
With the nearest neighbours (Å) after each atom.
Element x y z (fractional)
Be (0.0000, 0.0000, 0.0000)  4 Ru 2.46
Be (0.0000, 0.5000, 0.5000)  4 Ru 2.46
Be (0.5000, 0.0000, 0.5000)  4 Ru 2.46
Be (0.5000, 0.5000, 0.0000)  4 Ru 2.46
Ru (0.2500, 0.2500, 0.2500)  4 Se 2.46, 4 Be 2.46
Ru (0.2500, 0.7500, 0.7500)  4 Se 2.46, 4 Be 2.46
Ru (0.7500, 0.2500, 0.7500)  4 Se 2.46, 4 Be 2.46
Ru (0.7500, 0.7500, 0.2500)  4 Se 2.46, 4 Be 2.46
Se (0.0000, 0.0000, 0.5000)  4 Ru 2.46
Se (0.0000, 0.5000, 0.0000)  4 Ru 2.46
Se (0.5000, 0.0000, 0.0000)  4 Ru 2.46
Se (0.5000, 0.5000, 0.5000)  4 Ru 2.46

crystal system: cubic
uncorrected formation energy: 0.2318 eV/atom
E above lowest polymorph: 0.132 eV/atom
symmetry: F-43m (216)

---

# 9
A plane-wave DFT calculation with PBE was carried out for a geometry-optimized CdCo2Br structure.

Lattice parameters (Å, degrees): 6.3575 6.3575 6.3575 90.00 90.00 90.00
With the nearest neighbours (Å) after each atom.
Element x y z (fractional)
Cd (0.0000, 0.0000, 0.0000)  8 Co 2.75
Cd (0.0000, 0.5000, 0.5000)  8 Co 2.75
Cd (0.5000, 0.0000, 0.5000)  8 Co 2.75
Cd (0.5000, 0.5000, 0.0000)  8 Co 2.75
Co (0.2500, 0.2500, 0.2500)  4 Cd 2.75, 4 Br 2.75
Co (0.2500, 0.2500, 0.7500)  4 Cd 2.75, 4 Br 2.75
Co (0.2500, 0.7500, 0.2500)  4 Cd 2.75, 4 Br 2.75
Co (0.2500, 0.7500, 0.7500)  4 Cd 2.75, 4 Br 2.75
Co (0.7500, 0.2500, 0.2500)  4 Cd 2.75, 4 Br 2.75
Co (0.7500, 0.2500, 0.7500)  4 Cd 2.75, 4 Br 2.75
Co (0.7500, 0.7500, 0.2500)  4 Cd 2.75, 4 Br 2.75
Co (0.7500, 0.7500, 0.7500)  4 Cd 2.75, 4 Br 2.75
Br (0.0000, 0.0000, 0.5000)  8 Co 2.75
Br (0.0000, 0.5000, 0.0000)  8 Co 2.75
Br (0.5000, 0.0000, 0.0000)  8 Co 2.75
Br (0.5000, 0.5000, 0.5000)  8 Co 2.75

crystal system: cubic
uncorrected formation energy: 0.7903 eV/atom
E above lowest polymorph: 0.464 eV/atom
symmetry: Fm-3m (225)

---

# 10
A plane-wave DFT calculation with PBE was carried out for a geometry-optimized Ce4Y3PaP8 structure.

Lattice parameters (Å, degrees): 8.0947 8.0947 8.0947 59.91 59.91 59.91
With the nearest neighbours (Å) after each atom.
Element x y z (fractional)
Ce (0.0000, 0.0000, 0.0000)  6 P 2.91
Ce (0.0000, 0.5000, 0.5000)  6 P 2.87-2.88
Ce (0.5000, 0.0000, 0.5000)  6 P 2.87-2.88
Ce (0.5000, 0.5000, 0.0000)  6 P 2.87-2.88
Y (0.0000, 0.0000, 0.5000)  6 P 2.84-2.85
Y (0.0000, 0.5000, 0.0000)  6 P 2.84-2.85
Y (0.5000, 0.0000, 0.0000)  6 P 2.84-2.85
Pa (0.5000, 0.5000, 0.5000)  6 P 2.81
P (0.2494, 0.2494, 0.2494)  3 Y 2.85, 3 Ce 2.87
P (0.2517, 0.7455, 0.7455)  1 Pa 2.81, 2 Y 2.84, 3 Ce 2.88-2.91
P (0.2545, 0.2545, 0.7483)  1 Pa 2.81, 2 Y 2.84, 3 Ce 2.88-2.91
P (0.2545, 0.7483, 0.2545)  1 Pa 2.81, 2 Y 2.84, 3 Ce 2.88-2.91
P (0.7455, 0.2517, 0.7455)  1 Pa 2.81, 2 Y 2.84, 3 Ce 2.88-2.91
P (0.7455, 0.7455, 0.2517)  1 Pa 2.81, 2 Y 2.84, 3 Ce 2.88-2.91
P (0.7483, 0.2545, 0.2545)  1 Pa 2.81, 2 Y 2.84, 3 Ce 2.88-2.91
P (0.7506, 0.7506, 0.7506)  3 Y 2.85, 3 Ce 2.87

crystal system: trigonal
formation energy: -1.527 eV/atom
symmetry: R-3m (166)

---

# 11
A plane-wave DFT calculation with PBE was carried out for a geometry-optimized TaCo5Si structure.

Lattice parameters (Å, degrees): 3.7051 3.7051 6.2567 90.00 90.00 90.00
With the nearest neighbours (Å) after each atom.
Element x y z (fractional)
Ta (0.0000, 0.0000, 0.0000)  12 Co 2.57-2.62
Co (0.0000, 0.5000, 0.2855)  2 Si 2.29
Co (0.0000, 0.5000, 0.7145)  2 Si 2.29
Co (0.5000, 0.0000, 0.2855)  2 Si 2.29
Co (0.5000, 0.0000, 0.7145)  2 Si 2.29
Co (0.5000, 0.5000, 0.0000)  8 Co 2.57, 4 Ta 2.62
Si (0.5000, 0.5000, 0.5000)  8 Co 2.29

crystal system: tetragonal
uncorrected formation energy: -0.1918 eV/atom
symmetry: P4/mmm (123)

---

# 12
A plane-wave DFT calculation with PBE was carried out for a geometry-optimized Ba3SrPm2Te6 structure.

Lattice parameters (Å, degrees): 8.1846 8.1846 8.3285 99.43 99.43 119.98
With the nearest neighbours (Å) after each atom.
Element x y z (fractional)
Ba (0.0000, 0.0000, 0.0000)  6 Te 3.44-3.50
Ba (0.3360, 0.6640, 0.0000)  6 Te 3.45-3.51
Ba (0.6640, 0.3360, 0.0000)  6 Te 3.45-3.51
Sr (0.5000, 0.5000, 0.5000)  6 Te 3.30-3.31
Pm (0.1670, 0.8330, 0.5000)  6 Te 3.22-3.23
Pm (0.8330, 0.1670, 0.5000)  6 Te 3.22-3.23
Te (0.0830, 0.4245, 0.2740)  2 Pm 3.23, 1 Sr 3.31, 3 Ba 3.45-3.51
Te (0.2329, 0.2329, 0.7233)  2 Pm 3.22, 1 Sr 3.30, 3 Ba 3.44-3.49
Te (0.4245, 0.0830, 0.2740)  2 Pm 3.23, 1 Sr 3.31, 3 Ba 3.45-3.51
Te (0.5755, 0.9170, 0.7260)  2 Pm 3.23, 1 Sr 3.31, 3 Ba 3.45-3.51
Te (0.7671, 0.7671, 0.2767)  2 Pm 3.22, 1 Sr 3.30, 3 Ba 3.44-3.49
Te (0.9170, 0.5755, 0.7260)  2 Pm 3.23, 1 Sr 3.31, 3 Ba 3.45-3.51

crystal system: monoclinic
uncorrected formation energy: -1.6269 eV/atom
symmetry: C2/m (12)